LaNd2Zn, optimized geometry, DFT PBE-GGA; distance to the lowest polymorph of the same formula = 0.0 kJ per mole of atoms; D(E_F) = 5.049 states/eV per cell; crystal system = tetragonal
1.0
3.714 0.000 0.000
0.000 3.714 0.000
0.000 0.000 8.850
Zn Nd La
1 2 1
Cartesian
1.857 1.857 0.000
0.000 0.000 7.045
0.000 0.000 1.806
1.857 1.857 4.425